GGA-PBE TmHfSb, relaxed; energy relative to the elements, uncorrected = -151.7 meV per atom; space-group type = P3m1
1.0
3.525 0.000 0.000
0.000 4.981 0.000
0.000 -2.490 4.313
Sb Tm Hf
1 1 1
direct
0.245 0.333 0.667
0.638 0.667 0.333
0.117 0.000 0.000

=====

GGA-PBE Tm2HfSb3, relaxed; energy relative to the elements, uncorrected = -809.2 meV per atom; space-group type = I4/mmm
1.0
4.145 0.001 -0.945
-0.214 4.139 -0.945
-0.017 -0.017 9.494
Tm Hf Sb
2 1 3
direct
0.103 0.104 0.211
0.766 0.767 0.537
0.434 0.436 0.874
0.934 0.936 0.874
0.272 0.274 0.550
0.596 0.598 0.198